(1)
The following is a GGA-PBE calculation of a relaxed Cd2AsBr crystal, from the Alexandria database.

It has space group Pmmm (No. 47), with a = 3.5238 Å, b = 3.5381 Å, c = 7.6468 Å, α = 90.00°, β = 90.00° and γ = 90.00°. The asymmetric unit holds Cd at (0.0000, 0.0000, 0.2186), As at (0.5000, 0.5000, 0.0000) and Br at (0.5000, 0.5000, 0.5000).

The calculation puts the energy relative to the elements, uncorrected at -0.02 eV per atom. The total moment is 0.000 μB per atom. The value obtained for the distance to the lowest polymorph of the same formula is 371.0 meV/atom.

***

(2)
The following is a GGA-PBE calculation of a relaxed CdAs2Br crystal, from the Alexandria database.

It has space group C2/m (No. 12), with a = 12.6751 Å, b = 3.7382 Å, c = 4.5292 Å, α = 90.00°, β = 96.33° and γ = 90.00°. The asymmetric unit holds Cd at (0.0000, 0.0000, 0.0000), As at (0.2177, 0.0000, 0.1413) and Br at (0.0000, 0.5000, 0.5000).

The calculation puts the energy relative to the elements, uncorrected at -0.16 eV per atom. The total moment is 0.000 μB per atom. The value obtained for the distance to the lowest polymorph of the same formula is 10.2 meV/atom.

***

(3)
The following is a GGA-PBE calculation of a relaxed CdAsBr crystal, from the Alexandria database.

It has space group I4mm (No. 107), with a = 3.9999 Å, b = 3.9999 Å, c = 11.4363 Å, α = 90.00°, β = 90.00° and γ = 90.00°. The asymmetric unit holds Cd at (0.0000, 0.0000, 0.0000), As at (0.0000, 0.0000, 0.4848) and Br at (0.0000, 0.0000, 0.2695).

The calculation puts the energy relative to the elements, uncorrected at -0.06 eV per atom. The total moment is 0.000 μB per atom. The value obtained for the distance to the lowest polymorph of the same formula is 377.4 meV/atom.

***

(4)
The following is a GGA-PBE calculation of a relaxed CdAs2Br crystal, from the Alexandria database.

It has space group Amm2 (No. 38), with a = 3.7615 Å, b = 5.5956 Å, c = 9.5775 Å, α = 90.00°, β = 90.00° and γ = 90.00°. The asymmetric unit holds Cd at (0.0000, 0.0000, 0.0000), As at (0.0000, 0.0000, 0.4374), As at (0.5000, 0.0000, 0.2611) and Br at (0.5000, 0.0000, 0.7463).

The calculation puts the energy relative to the elements, uncorrected at -0.07 eV per atom. The total moment is 0.000 μB per atom. The value obtained for the distance to the lowest polymorph of the same formula is 105.0 meV/atom.

***

(5)
The following is a GGA-PBE calculation of a relaxed CdAs2Br crystal, from the Alexandria database.

It has space group I4/mmm (No. 139), with a = 3.8689 Å, b = 3.8689 Å, c = 14.0622 Å, α = 90.00°, β = 90.00° and γ = 90.00°. The asymmetric unit holds Cd at (0.0000, 0.0000, 0.0000), As at (0.0000, 0.5000, 0.2500) and Br at (0.0000, 0.0000, 0.5000).

The calculation puts the energy relative to the elements, uncorrected at 0.19 eV per atom. The total moment is 0.000 μB per atom. The value obtained for the distance to the lowest polymorph of the same formula is 363.5 meV/atom.

***

(6)
The following is a GGA-PBE calculation of a relaxed CdAs2Br crystal, from the Alexandria database.

It has space group I4/mmm (No. 139), with a = 5.6819 Å, b = 5.6819 Å, c = 5.8429 Å, α = 90.00°, β = 90.00° and γ = 90.00°. The asymmetric unit holds Cd at (0.0000, 0.0000, 0.0000), As at (0.0000, 0.5000, 0.0000) and Br at (0.0000, 0.0000, 0.5000).

The calculation puts the energy relative to the elements, uncorrected at 0.15 eV per atom. The total moment is 0.000 μB per atom. The value obtained for the distance to the lowest polymorph of the same formula is 328.1 meV/atom.

***

> Which of these has the lowest energy relative to the elements, uncorrected?

number 2

***

> What is the total moment in the fourth record?

0.000 μB per atom

***

> Which value of energy relative to the elements, uncorrected does entry 2 give?

-0.16 eV per atom